VASP calculation (PBE-GGA) on a relaxed KCaTa2 crystal.

POSCAR file:
```
KCaTa2
1.0
2.879 0.000 0.000
0.000 5.806 0.000
0.000 0.000 5.823
K Ca Ta
1 1 2
Direct
0.000 0.000 0.000
0.000 0.000 0.500
0.500 0.500 0.264
0.500 0.500 0.736
```

Summary:
Its offset from the most stable computed form is 0.651 eV/atom. As for the formation energy: 29.05 kcal/mol of atoms. The space group is Pmmm (47). As for the volume: 97.3 Å³/cell. The value obtained for the size of the total moment is 0.0 μB/f.u. Its uncorrected energy is -5.44 eV per atom.